Record 1
Computed, not measured: Ca5Mg4Rh4 after structural relaxation at the PBE level of DFT.

## Properties
* calculated density: 4.026 g cm⁻³
* ΔE_f: -0.38 eV/atom
* DOS(E_F): 9.22 states/eV per cell
* total magnetization: 0.00 Bohr magnetons per cell

Unit cell a=11.696 b=11.696 c=4.277 alpha=90.00 beta=90.00 gamma=90.00
Space group I4/m (No. 87)
Asymmetric unit:
Ca 0.000 0.000 0.000 [2 per cell]
Ca 0.132 0.206 0.500 [8 per cell]
Mg 0.082 0.611 0.500 [8 per cell]
Rh 0.054 0.747 0.000 [8 per cell]

Record 2
Computed, not measured: Ca3Mg7Rh4 after structural relaxation at the PBE level of DFT.

## Properties
* calculated density: 3.925 g cm⁻³
* ΔE_f: -0.37 eV/atom
* DOS(E_F): 10.46 states/eV per cell
* total magnetization: 0.00 Bohr magnetons per cell

Unit cell a=16.208 b=4.316 c=10.312 alpha=90.00 beta=124.59 gamma=90.00
Space group C2/m (No. 12)
Asymmetric unit:
Ca 0.000 0.000 0.000 [2 per cell]
Ca 0.193 0.500 0.707 [4 per cell]
Mg 0.000 0.000 0.500 [2 per cell]
Mg 0.011 0.500 0.276 [4 per cell]
Mg 0.169 0.000 0.422 [4 per cell]
Mg 0.186 0.500 0.019 [4 per cell]
Rh 0.105 0.000 0.813 [4 per cell]
Rh 0.172 0.500 0.270 [4 per cell]

Record 3
Computed, not measured: Ca3MgRh after structural relaxation at the PBE level of DFT.

## Properties
* calculated density: 2.461 g cm⁻³
* ΔE_f: -0.15 eV/atom
* DOS(E_F): 2.24 states/eV per cell
* total magnetization: 0.00 Bohr magnetons per cell

Unit cell a=5.507 b=5.507 c=5.507 alpha=90.00 beta=90.00 gamma=90.00
Space group Pm-3m (No. 221)
Asymmetric unit:
Ca 0.000 0.000 0.500 [3 per cell]
Mg 0.500 0.500 0.500 [1 per cell]
Rh 0.000 0.000 0.000 [1 per cell]

Record 4
Computed, not measured: CaMgRh after structural relaxation at the PBE level of DFT.

## Properties
* calculated density: 4.300 g cm⁻³
* ΔE_f: -0.26 eV/atom
* DOS(E_F): 1.15 states/eV per cell
* total magnetization: 0.00 Bohr magnetons per cell

Unit cell a=4.5882 b=4.5882 c=3.5436 alpha=90.00 beta=90.00 gamma=120.00
Space group P-6m2 (No. 187)
Asymmetric unit:
Ca 0.0000 0.0000 0.0000 [1 per cell]
Mg 0.6667 0.3333 0.5000 [1 per cell]
Rh 0.3333 0.6667 0.5000 [1 per cell]

Record 5
Computed, not measured: Ca8MgRh2 after structural relaxation at the PBE level of DFT.

## Properties
* calculated density: 2.625 g cm⁻³
* ΔE_f: -0.22 eV/atom
* DOS(E_F): 18.08 states/eV per cell
* total magnetization: 0.00 Bohr magnetons per cell

Unit cell a=9.149 b=13.531 c=5.761 alpha=90.00 beta=102.37 gamma=90.00
Space group Cm (No. 8)
Asymmetric unit:
Ca 0.000 0.000 0.000 [2 per cell]
Ca 0.087 0.364 0.795 [4 per cell]
Ca 0.194 0.136 0.636 [4 per cell]
Ca 0.281 0.500 0.430 [2 per cell]
Ca 0.391 0.253 0.215 [4 per cell]
Mg 0.390 0.000 0.216 [2 per cell]
Rh 0.390 0.316 0.715 [4 per cell]

Record 6
Computed, not measured: CaMg2Rh after structural relaxation at the PBE level of DFT.

## Properties
* calculated density: 3.800 g cm⁻³
* ΔE_f: -0.15 eV/atom
* DOS(E_F): 2.80 states/eV per cell
* total magnetization: 0.00 Bohr magnetons per cell

Unit cell a=4.239 b=4.239 c=4.660 alpha=90.00 beta=90.00 gamma=90.00
Space group P4/mmm (No. 123)
Asymmetric unit:
Ca 0.000 0.000 0.000 [1 per cell]
Mg 0.000 0.500 0.500 [2 per cell]
Rh 0.500 0.500 0.000 [1 per cell]